1.
Compound: NaP2PtO8
Source: Alexandria
Functional: GGA-PBE
Structure: relaxed

The value obtained for the density of states at the Fermi level is 0.60 states/eV/atom. The calculation puts the uncorrected formation energy at -1.567 eV/atom.

It has space group R-3 (No. 148, hexagonal axes), with a = 4.7841 Å, b = 4.7841 Å, c = 23.9556 Å, α = 90.00°, β = 90.00° and γ = 120.00°. The distinct sites, in fractional coordinates, are Na at (0.0000, 0.0000, 0.0000), P at (0.0000, 0.0000, 0.2384), Pt at (0.0000, 0.0000, 0.5000), O at (0.0000, 0.0000, 0.3013) and O at (0.0148, 0.6985, 0.2161).



2.
Compound: KPuSb2O8
Source: Alexandria
Functional: GGA-PBE
Structure: relaxed

The value obtained for the density of states at the Fermi level is 0.31 states/eV/atom. The calculation puts the uncorrected formation energy at -1.714 eV/atom.

It has space group Cmmm (No. 65), with a = 7.103 Å, b = 7.553 Å, c = 6.474 Å, α = 90.00°, β = 90.00° and γ = 90.00°. The distinct sites, in fractional coordinates, are K at (0.000, 0.000, 0.000), Pu at (0.000, 0.000, 0.500), Sb at (0.000, 0.500, 0.250), O at (0.000, 0.317, 0.500), O at (0.000, 0.334, 0.000) and O at (0.219, 0.000, 0.290).



3.
Compound: SrLiTa
Source: Alexandria
Functional: GGA-PBE
Structure: relaxed

The value obtained for the density of states at the Fermi level is 0.99 states/eV/atom. As for the energy relative to the elements: 1288.9 meV per atom.

It has space group Cmcm (No. 63), with a = 5.042 Å, b = 8.851 Å, c = 6.703 Å, α = 90.00°, β = 90.00° and γ = 90.00°. The distinct sites, in fractional coordinates, are Sr at (0.000, 0.000, 0.000), Li at (0.000, 0.336, 0.250) and Ta at (0.000, 0.330, 0.750).